Tm5CoBi4 | PBE | optimized geometry

Cell: 6.224 7.475 7.475 Å, 80.02 65.40 65.40°
Element x y z (fractional)
Tm: 0.748 0.180 0.366
Tm: 0.114 0.634 0.180
Tm: 0.294 0.820 0.634
Tm: 0.928 0.366 0.820
Tm: 0.377 0.000 0.000
Bi: 0.612 0.616 0.210
Bi: 0.228 0.210 0.384
Bi: 0.438 0.384 0.790
Bi: 0.822 0.790 0.616
Co: 0.950 0.000 0.000

Results
- Calculated formation energy: -0.5125 eV per atom
- Magnetization: 0.0 μB/cell
- Energy: -0.36832 Ry/atom
- Density of states at the Fermi level: 0.119 states/eV/atom